Ba2YCr3O8: relaxed, PBE+U.

Cell and atoms, written as extended XYZ:
```
14
Lattice="-2.433 -1.707 2.636 2.787 0.362 2.808 -4.301 10.607 2.901" Properties=species:S:1:pos:R:3 pbc="T T T"
Ba -0.524 1.057 3.195
Ba -3.423 8.205 5.149
Y -1.974 4.631 4.172
Cr -1.472 3.631 0.993
Cr 0.000 0.000 0.000
Cr -2.829 6.976 1.908
O -0.243 4.218 2.508
O -2.853 3.183 2.422
O -1.217 -0.854 1.318
O -0.777 1.916 0.524
O -1.271 6.752 3.201
O -3.881 5.717 3.115
O -3.524 8.692 2.377
O 1.393 0.181 1.404
```

Summary:
V   13.310 Å³ per atom
Space group   P4/mmm
Raw total energy   -105.83 eV per cell